(1)
Below is a relaxed PaGePt crystal, with properties calculated at the PBE level.

Summary:
The calculation puts the energy at -7.46 eV per atom. Its space group is No. 216.

```
PaGePt
1.0
-2.2250 2.5253 3.1231
0.7748 4.5173 0.2745
-3.2380 2.9698 -1.3330
Ge Pt Pa
1 1 1
Cartesian
-1.1721 2.5031 0.5161
0.0000 0.0000 0.0000
-3.5162 7.5093 1.5484
```



(2)
Below is a relaxed Pa2GePt3 crystal, with properties calculated at the PBE level.

Summary:
The calculation puts the energy at -7.92 eV per atom. Its space group is No. 69.

```
Pa2GePt3
1.0
0.0000 4.5321 7.8871
3.2889 0.0000 7.8871
3.2889 4.5321 0.0000
Pt Ge Pa
6 2 4
Cartesian
3.2889 2.1620 9.2482
3.2889 6.9021 6.5260
3.2889 2.1620 6.5260
3.2889 4.5321 5.1498
3.2889 4.5321 10.6245
3.2889 6.9021 9.2482
3.2889 4.5321 2.5999
3.2889 4.5321 13.1743
1.8012 4.5321 7.8871
4.7766 4.5321 7.8871
1.6445 2.2660 3.9436
4.9334 6.7981 11.8307
```